The following is a PBE calculation of crystalline Th3As2PRh9 at its relaxed geometry, from Alexandria.

Summary:
DOS(E_F) = 6.2 states/eV/f.u.
Formation energy = -712 meV/atom
Calculated total energy = -113.8 eV for the cell shown
M_tot = 0.00 Bohr magnetons per cell

a = 5.7946 Å, b = 5.7946 Å, c = 9.9523 Å
α = 90.00°, β = 90.00°, γ = 120.00°
Space group P-3m1 (No. 164)
Unique sites:
Th (0.0000, 0.0000, 0.0000) (multiplicity 1)
Th (0.3333, 0.6667, 0.7002) (multiplicity 2)
As (0.3333, 0.6667, 0.1777) (multiplicity 2)
P (0.0000, 0.0000, 0.5000) (multiplicity 1)
Rh (0.0000, 0.5000, 0.0000) (multiplicity 3)
Rh (0.1738, 0.3476, 0.3643) (multiplicity 6)

The following is a PBE calculation of crystalline Ti2AsPRh at its relaxed geometry, from Alexandria.

Summary:
DOS(E_F) = 8.4 states/eV/f.u.
Formation energy = -229 meV/atom
Calculated total energy = -34.3 eV for the cell shown
M_tot = 0.00 Bohr magnetons per cell

a = 4.555 Å, b = 4.555 Å, c = 4.339 Å
α = 90.00°, β = 90.00°, γ = 90.00°
Space group P4/mmm (No. 123)
Unique sites:
Ti (0.000, 0.500, 0.000) (multiplicity 2)
As (0.000, 0.000, 0.500) (multiplicity 1)
P (0.500, 0.500, 0.000) (multiplicity 1)
Rh (0.500, 0.500, 0.500) (multiplicity 1)

The following is a PBE calculation of crystalline Tm3As2PRh9 at its relaxed geometry, from Alexandria.

Summary:
DOS(E_F) = 6.3 states/eV/f.u.
Formation energy = -544 meV/atom
Calculated total energy = -102.4 eV for the cell shown
M_tot = 0.00 Bohr magnetons per cell

a = 6.5943 Å, b = 6.5943 Å, c = 7.4612 Å
α = 90.00°, β = 90.00°, γ = 120.00°
Space group P-3m1 (No. 164)
Unique sites:
Tm (0.0000, 0.0000, 0.0000) (multiplicity 1)
Tm (0.3333, 0.6667, 0.7001) (multiplicity 2)
As (0.3333, 0.6667, 0.2037) (multiplicity 2)
P (0.0000, 0.0000, 0.5000) (multiplicity 1)
Rh (0.0000, 0.5000, 0.0000) (multiplicity 3)
Rh (0.1432, 0.2864, 0.2985) (multiplicity 6)

The following is a PBE calculation of crystalline Y3AsP2Rh9 at its relaxed geometry, from Alexandria.

Summary:
DOS(E_F) = 8.1 states/eV/f.u.
Formation energy = -685 meV/atom
Calculated total energy = -111.3 eV for the cell shown
M_tot = 0.00 Bohr magnetons per cell

a = 6.1128 Å, b = 6.1128 Å, c = 8.5997 Å
α = 90.00°, β = 90.00°, γ = 120.00°
Space group P-3m1 (No. 164)
Unique sites:
Y (0.0000, 0.0000, 0.0000) (multiplicity 1)
Y (0.3333, 0.6667, 0.6962) (multiplicity 2)
As (0.0000, 0.0000, 0.5000) (multiplicity 1)
P (0.3333, 0.6667, 0.1687) (multiplicity 2)
Rh (0.0000, 0.5000, 0.0000) (multiplicity 3)
Rh (0.1509, 0.3017, 0.2863) (multiplicity 6)

The following is a PBE calculation of crystalline Y3As2PRh9 at its relaxed geometry, from Alexandria.

Summary:
DOS(E_F) = 6.9 states/eV/f.u.
Formation energy = -545 meV/atom
Calculated total energy = -108.4 eV for the cell shown
M_tot = 0.00 Bohr magnetons per cell

a = 6.6097 Å, b = 6.6097 Å, c = 7.4928 Å
α = 90.00°, β = 90.00°, γ = 120.00°
Space group P-3m1 (No. 164)
Unique sites:
Y (0.0000, 0.0000, 0.0000) (multiplicity 1)
Y (0.3333, 0.6667, 0.6873) (multiplicity 2)
As (0.3333, 0.6667, 0.2020) (multiplicity 2)
P (0.0000, 0.0000, 0.5000) (multiplicity 1)
Rh (0.0000, 0.5000, 0.0000) (multiplicity 3)
Rh (0.1440, 0.2879, 0.3012) (multiplicity 6)

The following is a PBE calculation of crystalline Zr2AsPRh at its relaxed geometry, from Alexandria.

Summary:
DOS(E_F) = 6.2 states/eV/f.u.
Formation energy = -365 meV/atom
Calculated total energy = -36.3 eV for the cell shown
M_tot = 0.00 Bohr magnetons per cell

a = 4.913 Å, b = 4.913 Å, c = 4.283 Å
α = 90.00°, β = 90.00°, γ = 90.00°
Space group P4/mmm (No. 123)
Unique sites:
Zr (0.000, 0.500, 0.000) (multiplicity 2)
As (0.000, 0.000, 0.500) (multiplicity 1)
P (0.500, 0.500, 0.000) (multiplicity 1)
Rh (0.500, 0.500, 0.500) (multiplicity 1)

The following is a PBE calculation of crystalline AsPRu at its relaxed geometry, from Alexandria.

Summary:
DOS(E_F) = 1.7 states/eV/f.u.
Formation energy = -88 meV/atom
Polymorph energy (0 for the lowest one) = 36.0 kJ/mol of atoms
Calculated total energy = -19.6 eV for the cell shown
M_tot = 0.00 Bohr magnetons per cell

a = 3.1745 Å, b = 3.1745 Å, c = 5.3093 Å
α = 90.00°, β = 90.00°, γ = 120.00°
Space group P3m1 (No. 156)
Unique sites:
As (0.0000, 0.0000, 0.0000) (multiplicity 1)
P (0.6667, 0.3333, 0.3698) (multiplicity 1)
Ru (0.3333, 0.6667, 0.6560) (multiplicity 1)

The following is a PBE calculation of crystalline AsPRu at its relaxed geometry, from Alexandria.

Summary:
DOS(E_F) = 2.6 states/eV/f.u.
Formation energy = 142 meV/atom
Polymorph energy (0 for the lowest one) = 58.2 kJ/mol of atoms
Calculated total energy = -18.9 eV for the cell shown
M_tot = 0.00 Bohr magnetons per cell

a = 4.1248 Å, b = 4.1248 Å, c = 3.1811 Å
α = 90.00°, β = 90.00°, γ = 120.00°
Space group P-6m2 (No. 187)
Unique sites:
As (0.0000, 0.0000, 0.0000) (multiplicity 1)
P (0.3333, 0.6667, 0.5000) (multiplicity 1)
Ru (0.6667, 0.3333, 0.5000) (multiplicity 1)

The following is a PBE calculation of crystalline AsPRu at its relaxed geometry, from Alexandria.

Summary:
DOS(E_F) = 1.7 states/eV/f.u.
Formation energy = -99 meV/atom
Polymorph energy (0 for the lowest one) = 34.9 kJ/mol of atoms
Calculated total energy = -39.3 eV for the cell shown
M_tot = 0.00 Bohr magnetons per cell

a = 3.005 Å, b = 5.698 Å, c = 6.396 Å
α = 107.88°, β = 102.68°, γ = 90.18°
Space group P-1 (No. 2)
Unique sites:
As (0.154, 0.116, 0.347) (multiplicity 2)
P (0.401, 0.420, 0.785) (multiplicity 2)
Ru (0.001, 0.258, 0.007) (multiplicity 2)

The following is a PBE calculation of crystalline As2PRu at its relaxed geometry, from Alexandria.

Summary:
DOS(E_F) = 2.5 states/eV/f.u.
Formation energy = 179 meV/atom
Calculated total energy = -46.5 eV for the cell shown
M_tot = 0.00 Bohr magnetons per cell

a = 3.022 Å, b = 3.929 Å, c = 11.595 Å
α = 90.00°, β = 90.00°, γ = 90.00°
Space group Immm (No. 71)
Unique sites:
As (0.000, 0.000, 0.186) (multiplicity 4)
P (0.000, 0.500, 0.000) (multiplicity 2)
Ru (0.000, 0.500, 0.500) (multiplicity 2)

The following is a PBE calculation of crystalline AsPRu at its relaxed geometry, from Alexandria.

Summary:
DOS(E_F) = 1.6 states/eV/f.u.
Formation energy = -130 meV/atom
Polymorph energy (0 for the lowest one) = 32.0 kJ/mol of atoms
Calculated total energy = -78.9 eV for the cell shown
M_tot = 0.00 Bohr magnetons per cell

a = 5.823 Å, b = 5.823 Å, c = 5.823 Å
α = 90.00°, β = 90.00°, γ = 90.00°
Space group F-43m (No. 216)
Unique sites:
As (0.000, 0.000, 0.000) (multiplicity 4)
P (0.000, 0.000, 0.500) (multiplicity 4)
Ru (0.250, 0.250, 0.750) (multiplicity 4)

The following is a PBE calculation of crystalline As2PRu at its relaxed geometry, from Alexandria.

Summary:
DOS(E_F) = 3.2 states/eV/f.u.
Formation energy = 184 meV/atom
Calculated total energy = -93.0 eV for the cell shown
M_tot = 0.00 Bohr magnetons per cell

a = 5.612 Å, b = 5.612 Å, c = 10.783 Å
α = 90.00°, β = 90.00°, γ = 90.00°
Space group I-42d (No. 122)
Unique sites:
As (0.239, 0.250, 0.125) (multiplicity 8)
P (0.000, 0.000, 0.500) (multiplicity 4)
Ru (0.000, 0.000, 0.000) (multiplicity 4)

The following is a PBE calculation of crystalline As2PRu at its relaxed geometry, from Alexandria.

Summary:
DOS(E_F) = 3.5 states/eV/f.u.
Formation energy = 210 meV/atom
Calculated total energy = -46.3 eV for the cell shown
M_tot = 0.00 Bohr magnetons per cell

a = 5.112 Å, b = 5.112 Å, c = 5.087 Å
α = 90.00°, β = 90.00°, γ = 90.00°
Space group I4/mmm (No. 139)
Unique sites:
As (0.000, 0.500, 0.000) (multiplicity 4)
P (0.000, 0.000, 0.000) (multiplicity 2)
Ru (0.000, 0.000, 0.500) (multiplicity 2)

The following is a PBE calculation of crystalline As2PRu at its relaxed geometry, from Alexandria.

Summary:
DOS(E_F) = 1.9 states/eV/f.u.
Formation energy = 309 meV/atom
Calculated total energy = -45.5 eV for the cell shown
M_tot = 0.00 Bohr magnetons per cell

a = 2.924 Å, b = 4.986 Å, c = 9.191 Å
α = 90.00°, β = 90.00°, γ = 90.00°
Space group Cmm2 (No. 35)
Unique sites:
As (0.000, 0.000, 0.000) (multiplicity 2)
As (0.000, 0.500, 0.298) (multiplicity 2)
P (0.000, 0.000, 0.566) (multiplicity 2)
Ru (0.000, 0.500, 0.762) (multiplicity 2)